1.
DFT (PBE) results for a relaxed RbTiSb2 crystal.

Cell: 7.5715 7.5715 7.5715 Å, 90.00 90.00 90.00°
With the nearest neighbours (Å) after each atom.
Space group Fm-3m (No. 225)
One atom of each set of equivalent atoms:
1 Rb 0.0000 0.0000 0.0000  8 Sb 3.28
2 Ti 0.0000 0.0000 0.5000  8 Sb 3.28
3 Sb 0.2500 0.2500 0.2500  4 Ti 3.28, 4 Rb 3.28

Output
Calculated total energy ... -4.03 eV per atom


2.
DFT (PBE) results for a relaxed RbTiSb3 crystal.

Cell: 5.3987 5.3987 5.3987 Å, 90.00 90.00 90.00°
With the nearest neighbours (Å) after each atom.
Space group Pm-3m (No. 221)
One atom of each set of equivalent atoms:
1 Rb 0.0000 0.0000 0.0000  12 Sb 3.82
2 Ti 0.5000 0.5000 0.5000  6 Sb 2.70
3 Sb 0.0000 0.5000 0.5000  2 Ti 2.70

Output
Calculated total energy ... -4.44 eV per atom


3.
DFT (PBE) results for a relaxed RbTi2Sb2 crystal.

Cell: 5.3489 5.3489 9.9910 Å, 90.00 90.00 90.00°
With the nearest neighbours (Å) after each atom.
Space group I4/mmm (No. 139)
One atom of each set of equivalent atoms:
1 Rb 0.0000 0.0000 0.0000  2 Ti 3.57, 8 Sb 3.66
2 Ti 0.0000 0.0000 0.3574  1 Ti 2.85, 4 Sb 2.88
3 Sb 0.0000 0.5000 0.2500  4 Ti 2.88

Output
Calculated total energy ... -4.95 eV per atom


4.
DFT (PBE) results for a relaxed RbTiTlSb2 crystal.

Cell: 5.3816 5.3816 5.5928 Å, 90.00 90.00 90.00°
With the nearest neighbours (Å) after each atom.
Space group P4/mmm (No. 123)
One atom of each set of equivalent atoms:
1 Rb 0.0000 0.0000 0.0000  4 Tl 3.81, 8 Sb 3.88
2 Ti 0.5000 0.5000 0.5000  4 Sb 2.69, 2 Tl 2.80
3 Tl 0.5000 0.5000 0.0000  2 Ti 2.80
4 Sb 0.0000 0.5000 0.5000  2 Ti 2.69

Output
Calculated total energy ... -4.09 eV per atom


5.
DFT (PBE) results for a relaxed RbYTiSb2 crystal.

Cell: 5.4532 5.4532 5.3350 Å, 90.00 90.00 90.00°
With the nearest neighbours (Å) after each atom.
Space group P4/mmm (No. 123)
One atom of each set of equivalent atoms:
1 Rb 0.0000 0.0000 0.0000  2 Ti 2.67
2 Y 0.5000 0.5000 0.0000  8 Sb 3.81, 4 Rb 3.86
3 Ti 0.0000 0.0000 0.5000  2 Rb 2.67, 4 Sb 2.73
4 Sb 0.0000 0.5000 0.5000  2 Ti 2.73

Output
Calculated total energy ... -4.38 eV per atom


6.
DFT (PBE) results for a relaxed RbZrTiSb2 crystal.

Cell: 5.3818 5.3818 5.3441 Å, 90.00 90.00 90.00°
With the nearest neighbours (Å) after each atom.
Space group P4/mmm (No. 123)
One atom of each set of equivalent atoms:
1 Rb 0.0000 0.0000 0.0000  2 Ti 2.67
2 Zr 0.5000 0.5000 0.0000  8 Sb 3.79, 4 Rb 3.81
3 Ti 0.0000 0.0000 0.5000  2 Rb 2.67, 4 Sb 2.69
4 Sb 0.0000 0.5000 0.5000  2 Ti 2.69

Output
Calculated total energy ... -4.35 eV per atom


7.
DFT (PBE) results for a relaxed RbTl6Sb2 crystal.

Cell: 5.2141 5.2141 11.4503 Å, 90.00 90.00 90.00°
With the nearest neighbours (Å) after each atom.
Space group P4/mmm (No. 123)
One atom of each set of equivalent atoms:
1 Rb 0.0000 0.0000 0.0000  8 Sb 3.97, 8 Tl 4.27
2 Tl 0.0000 0.0000 0.5000  12 Tl 3.51-3.69
3 Tl 0.0000 0.5000 0.2952  2 Sb 3.24, 4 Tl 3.51
4 Tl 0.5000 0.5000 0.5000  12 Tl 3.51-3.69
5 Sb 0.5000 0.5000 0.1276  1 Sb 2.92, 4 Tl 3.24

Output
Calculated total energy ... -2.69 eV per atom


8.
DFT (PBE) results for a relaxed RbTl2Sb crystal.

Cell: 18.7784 9.0176 7.1686 Å, 90.00 90.00 90.00°
With the nearest neighbours (Å) after each atom.
Space group Pnma (No. 62)
One atom of each set of equivalent atoms:
1 Rb 0.1049 0.2500 0.2360  3 Sb 3.70-3.89, 6 Tl 3.74-4.13
2 Rb 0.1407 0.7500 0.0240  3 Sb 3.68-3.91, 8 Tl 3.88-4.05
3 Tl 0.0325 0.0502 0.7537  3 Sb 3.17-3.33
4 Tl 0.2202 0.5669 0.5647  2 Sb 3.21-3.22, 1 Tl 3.30
5 Sb 0.0748 0.7500 0.5073  6 Tl 3.22-3.33
6 Sb 0.1708 0.2500 0.7220  4 Tl 3.17-3.21

Output
Calculated total energy ... -2.65 eV per atom


9.
DFT (PBE) results for a relaxed RbTl6Sb crystal.

Cell: 5.6218 5.6218 9.2499 Å, 90.00 90.00 90.00°
With the nearest neighbours (Å) after each atom.
Space group P4/mmm (No. 123)
One atom of each set of equivalent atoms:
1 Rb 0.0000 0.0000 0.0000  16 Tl 4.08-4.25
2 Tl 0.0000 0.5000 0.3198  3 Tl 3.17-3.33, 2 Sb 3.27
3 Tl 0.5000 0.5000 0.1619  5 Tl 2.99-3.17
4 Sb 0.0000 0.0000 0.5000  8 Tl 3.27

Output
Calculated total energy ... -2.43 eV per atom


10.
DFT (PBE) results for a relaxed RbTl14Sb crystal.

Cell: 11.0056 8.1380 11.4529 Å, 90.00 90.00 90.00°
With the nearest neighbours (Å) after each atom.
Space group Amm2 (No. 38)
One atom of each set of equivalent atoms:
1 Rb 0.0000 0.0000 0.0000  12 Tl 3.54-3.91
2 Tl 0.0000 0.2029 0.7252  7 Tl 3.30-3.58, 2 Sb 3.49-3.59, 2 Rb 3.54-3.55
3 Tl 0.2262 0.0000 0.2628  1 Sb 3.33, 8 Tl 3.50-3.54
4 Tl 0.2550 0.2146 0.5307  8 Tl 3.27-3.58, 1 Sb 3.41, 1 Rb 3.66
5 Tl 0.2746 0.0000 0.7989  10 Tl 3.41-3.75, 1 Rb 3.80
6 Tl 0.5000 0.0000 0.0443  12 Tl 3.52-3.92
7 Tl 0.5000 0.0000 0.5842  10 Tl 3.27-3.57
8 Tl 0.5000 0.2130 0.3121  11 Tl 3.41-3.68
9 Sb 0.0000 0.0000 0.4564  10 Tl 3.33-3.59

Output
Calculated total energy ... -2.40 eV per atom


11.
DFT (PBE) results for a relaxed Rb2TlSb crystal.

Cell: 9.4890 5.7078 7.3545 Å, 90.00 115.70 90.00°
With the nearest neighbours (Å) after each atom.
Space group Cm (No. 8)
One atom of each set of equivalent atoms:
1 Rb 0.0000 0.0000 0.0000  3 Sb 3.62-3.65, 1 Tl 4.00
2 Rb 0.2174 0.0000 0.6207  3 Tl 3.55-3.56, 1 Sb 3.96
3 Tl 0.3017 0.5000 0.3965  3 Sb 3.27-3.41, 3 Rb 3.55-3.56
4 Sb 0.4234 0.0000 0.2531  3 Tl 3.27-3.41, 3 Rb 3.62-3.65

Output
Calculated total energy ... -2.35 eV per atom


12.
DFT (PBE) results for a relaxed RbTl2Sb crystal.

Cell: 4.1517 4.1517 8.1883 Å, 90.00 90.00 90.00°
With the nearest neighbours (Å) after each atom.
Space group P4/mmm (No. 123)
One atom of each set of equivalent atoms:
1 Rb 0.0000 0.0000 0.0000  8 Tl 3.84, 2 Sb 4.09, 4 Rb 4.15
2 Tl 0.5000 0.5000 0.3024  1 Tl 3.24, 4 Sb 3.35
3 Sb 0.0000 0.0000 0.5000  8 Tl 3.35

Output
Calculated total energy ... -2.59 eV per atom


13.
DFT (PBE) results for a relaxed Rb2TlSb crystal.

Cell: 8.6802 8.6802 8.6802 Å, 90.00 90.00 90.00°
With the nearest neighbours (Å) after each atom.
Space group Fm-3m (No. 225)
One atom of each set of equivalent atoms:
1 Rb 0.2500 0.2500 0.2500  4 Sb 3.76, 4 Tl 3.76
2 Tl 0.0000 0.0000 0.0000  8 Rb 3.76
3 Sb 0.0000 0.0000 0.5000  8 Rb 3.76

Output
Calculated total energy ... -2.28 eV per atom


14.
DFT (PBE) results for a relaxed RbTl2Sb crystal.

Cell: 4.9867 13.2004 9.1253 Å, 90.00 90.00 90.00°
With the nearest neighbours (Å) after each atom.
Space group Cmcm (No. 63)
One atom of each set of equivalent atoms:
1 Rb 0.0000 0.0659 0.2500  3 Sb 3.77, 8 Tl 3.83-4.10
2 Tl 0.0000 0.3613 0.0512  3 Sb 3.26-3.32, 1 Tl 3.63
3 Sb 0.0000 0.2196 0.7500  6 Tl 3.26-3.32

Output
Calculated total energy ... -2.68 eV per atom


15.
DFT (PBE) results for a relaxed RbTl2Sb crystal.

Cell: 5.0797 5.0797 21.6557 Å, 90.00 90.00 120.00°
With the nearest neighbours (Å) after each atom.
Space group R3m (No. 160, hexagonal axes)
One atom of each set of equivalent atoms:
1 Rb 0.0000 0.0000 0.0000  6 Tl 3.61-3.84, 1 Sb 3.90
2 Tl 0.0000 0.0000 0.2188  3 Sb 3.26
3 Tl 0.0000 0.0000 0.4306  3 Sb 3.17
4 Sb 0.0000 0.0000 0.8198  6 Tl 3.17-3.26

Output
Calculated total energy ... -2.63 eV per atom


16.
DFT (PBE) results for a relaxed Rb3Tl2Sb2 crystal.

Cell: 4.8067 5.6640 22.7906 Å, 90.00 90.00 90.00°
With the nearest neighbours (Å) after each atom.
Space group Immm (No. 71)
One atom of each set of equivalent atoms:
1 Rb 0.0000 0.0000 0.0000  8 Tl 4.01, 4 Sb 4.29
2 Rb 0.0000 0.5000 0.3112  5 Sb 3.87, 2 Tl 3.98
3 Tl 0.0000 0.0000 0.4337  2 Sb 2.95, 1 Tl 3.02
4 Sb 0.0000 0.5000 0.1414  2 Tl 2.95

Output
Calculated total energy ... -2.53 eV per atom


17.
DFT (PBE) results for a relaxed Rb2Tl3Sb crystal.

Cell: 12.6458 5.6072 8.9444 Å, 90.00 134.08 90.00°
With the nearest neighbours (Å) after each atom.
Space group Cm (No. 8)
One atom of each set of equivalent atoms:
1 Rb 0.0000 0.0000 0.0000  7 Tl 3.74-3.87, 3 Sb 4.01-4.05
2 Rb 0.0126 0.5000 0.3836  7 Tl 3.77-4.09, 3 Sb 3.82-3.85
3 Tl 0.1726 0.5000 0.9552  2 Tl 3.15-3.28, 2 Sb 3.30
4 Tl 0.3260 0.0000 0.5926  1 Sb 3.11, 3 Tl 3.15-3.18
5 Tl 0.3477 0.5000 0.4480  1 Sb 3.16, 3 Tl 3.18-3.28
6 Sb 0.1958 0.0000 0.7856  4 Tl 3.11-3.30

Output
Calculated total energy ... -2.38 eV per atom


18.
DFT (PBE) results for a relaxed Rb5TlSb2 crystal.

Cell: 6.2987 6.2987 33.6559 Å, 90.00 90.00 120.00°
With the nearest neighbours (Å) after each atom.
Space group R-3m (No. 166, hexagonal axes)
One atom of each set of equivalent atoms:
1 Rb 0.0000 0.0000 0.0000  8 Rb 4.01-4.07, 6 Sb 4.36
2 Rb 0.0000 0.0000 0.1209  3 Tl 3.95, 3 Sb 4.00, 4 Rb 4.07-4.34
3 Rb 0.0000 0.0000 0.2828  4 Sb 3.71-4.11, 3 Rb 4.01
4 Tl 0.0000 0.0000 0.5000  2 Sb 3.20
5 Sb 0.0000 0.0000 0.4051  1 Tl 3.20

Output
Calculated total energy ... -2.17 eV per atom


19.
DFT (PBE) results for a relaxed Rb2TlSb crystal.

Cell: 5.3883 5.3883 24.5842 Å, 90.00 90.00 90.00°
With the nearest neighbours (Å) after each atom.
Space group I-42d (No. 122)
One atom of each set of equivalent atoms:
1 Rb 0.2483 0.2500 0.1250  2 Sb 3.61, 2 Tl 3.62, 4 Rb 3.80-3.82
2 Tl 0.0000 0.0000 0.5000  4 Rb 3.62, 4 Sb 3.81
3 Sb 0.0000 0.0000 0.0000  4 Rb 3.61, 4 Tl 3.81

Output
Calculated total energy ... -2.02 eV per atom


20.
DFT (PBE) results for a relaxed Rb2Tl5Sb3 crystal.

Cell: 13.4241 15.7256 7.2297 Å, 90.00 90.00 90.00°
With the nearest neighbours (Å) after each atom.
Space group Ibam (No. 72)
One atom of each set of equivalent atoms:
1 Rb 0.2439 0.1180 0.0000  10 Tl 3.95-4.40, 5 Sb 3.97-4.17
2 Tl 0.0000 0.2627 0.2500  2 Sb 3.20, 2 Tl 3.29
3 Tl 0.0000 0.5000 0.2500  4 Sb 3.12
4 Tl 0.1258 0.1249 0.5000  3 Sb 3.16-3.23, 2 Tl 3.29
5 Sb 0.0000 0.0000 0.2500  4 Tl 3.16
6 Sb 0.1340 0.3854 0.0000  5 Tl 3.12-3.23

Output
Calculated total energy ... -2.76 eV per atom


21.
DFT (PBE) results for a relaxed Rb2Tl2Sb3 crystal.

Cell: 13.3197 5.2742 8.1113 Å, 90.00 112.65 90.00°
With the nearest neighbours (Å) after each atom.
Space group C2/m (No. 12)
One atom of each set of equivalent atoms:
1 Rb 0.1490 0.0000 0.2856  6 Sb 3.81-4.07, 5 Tl 3.84-4.26
2 Tl 0.1547 0.0000 0.7645  5 Sb 3.25-3.52
3 Sb 0.0000 0.5000 0.5000  2 Sb 3.15, 4 Tl 3.52
4 Sb 0.0783 0.5000 0.9189  2 Sb 2.86-3.15

Output
Calculated total energy ... -2.94 eV per atom


22.
DFT (PBE) results for a relaxed RbTl2Sb3 crystal.

Cell: 12.0123 10.1416 7.2091 Å, 90.00 90.00 90.00°
With the nearest neighbours (Å) after each atom.
Space group Cmcm (No. 63)
One atom of each set of equivalent atoms:
1 Rb 0.0000 0.1602 0.2500  5 Sb 3.64-3.94, 4 Tl 4.04
2 Tl 0.2306 0.5000 0.0000  6 Sb 3.31-3.58, 2 Tl 3.60
3 Sb 0.0000 0.4808 0.7500  2 Sb 2.99, 4 Tl 3.31
4 Sb 0.1219 0.2235 0.7500  2 Sb 2.93-2.99

Output
Calculated total energy ... -3.08 eV per atom


23.
DFT (PBE) results for a relaxed Rb3Tl9Sb2 crystal.

Cell: 5.4110 12.2810 15.4829 Å, 90.00 90.00 90.00°
With the nearest neighbours (Å) after each atom.
Space group Immm (No. 71)
One atom of each set of equivalent atoms:
1 Rb 0.0000 0.0000 0.0000  12 Tl 3.97-4.11, 4 Sb 4.37
2 Rb 0.0000 0.0000 0.3180  10 Tl 3.91, 2 Sb 3.91
3 Tl 0.0000 0.2801 0.1276  4 Tl 3.31-3.35, 2 Sb 3.35
4 Tl 0.0000 0.3660 0.3306  1 Sb 3.17, 4 Tl 3.29-3.32
5 Tl 0.0000 0.5000 0.0000  4 Tl 3.35
6 Sb 0.0000 0.2205 0.5000  6 Tl 3.17-3.35

Output
Calculated total energy ... -2.42 eV per atom


Table of formation energy (no corrections) (eV per atom), in record order: 0.25; -0.19; 0.05; -0.20; 0.34; 0.78; -0.09; -0.19; -0.02; -0.01; -0.24; -0.13; -0.17; -0.22; -0.17; -0.26; -0.19; -0.24; 0.09; -0.14; -0.23; -0.07; -0.10